# 1
DFT (PBE) results for a relaxed SmTi2 crystal.

Lattice parameters (Å, degrees): 8.3131 8.3131 8.3131 90.00 90.00 90.00
Closest atoms and distances in Å follow each position.
Space group Fd-3m (No. 227, origin choice 2)
Inequivalent atoms, fractional coordinates:
Sm 0.1250 0.1250 0.1250 [8 per cell]  12 Ti 3.45, 4 Sm 3.60
Ti 0.0000 0.0000 0.5000 [16 per cell]  6 Ti 2.94

Output
As for the calculated formation energy: 0.293 eV/atom. The total energy comes out at -19.6 eV per formula unit. The value obtained for the calculated volume is 23.94 A^3/atom. For the spin magnetization, the calculation gives 4.8 μB per formula unit.

***

# 2
DFT (PBE) results for a relaxed Sm3Ti crystal.

Lattice parameters (Å, degrees): 3.5284 11.2485 5.9426 90.00 90.00 90.00
Closest atoms and distances in Å follow each position.
Space group Imm2 (No. 44)
Inequivalent atoms, fractional coordinates:
Sm 0.0000 0.0000 0.0000 [2 per cell]  4 Ti 3.32-3.59, 8 Sm 3.43-3.61
Sm 0.0000 0.2270 0.6143 [4 per cell]  2 Ti 3.22, 7 Sm 3.43-3.53
Ti 0.0000 0.5000 0.9731 [2 per cell]  8 Sm 3.22-3.59, 2 Ti 3.53

Output
As for the calculated formation energy: 0.238 eV/atom. The total energy comes out at -21.1 eV per formula unit. The value obtained for the calculated volume is 29.48 A^3/atom. For the spin magnetization, the calculation gives 1.3 μB per formula unit.

***

# 3
DFT (PBE) results for a relaxed SmTi4 crystal.

Lattice parameters (Å, degrees): 4.7979 4.7979 4.7979 90.00 90.00 90.00
Closest atoms and distances in Å follow each position.
Space group Pm-3m (No. 221)
Inequivalent atoms, fractional coordinates:
Sm 0.0000 0.0000 0.0000 [1 per cell]  6 Ti 2.40
Ti 0.0000 0.0000 0.5000 [3 per cell]  2 Sm 2.40
Ti 0.5000 0.5000 0.5000 [1 per cell]  12 Ti 3.39

Output
As for the calculated formation energy: 1.416 eV/atom. The total energy comes out at -29.2 eV per formula unit. The value obtained for the calculated volume is 22.09 A^3/atom. For the spin magnetization, the calculation gives 1.2 μB per formula unit.

***

# 4
DFT (PBE) results for a relaxed SmTiTl2 crystal.

Lattice parameters (Å, degrees): 3.7062 3.7062 7.1461 90.00 90.00 90.00
Closest atoms and distances in Å follow each position.
Space group P4/mmm (No. 123)
Inequivalent atoms, fractional coordinates:
Sm 0.0000 0.0000 0.0000 [1 per cell]  8 Tl 3.30, 2 Ti 3.57
Ti 0.0000 0.0000 0.5000 [1 per cell]  8 Tl 3.05
Tl 0.5000 0.5000 0.2813 [2 per cell]  4 Ti 3.05, 1 Tl 3.13, 4 Sm 3.30

Output
As for the calculated formation energy: -0.047 eV/atom. The total energy comes out at -17.5 eV per formula unit. The value obtained for the calculated volume is 24.54 A^3/atom. For the spin magnetization, the calculation gives 1.0 μB per formula unit.

***

# 5
DFT (PBE) results for a relaxed Sm2TiTl crystal.

Lattice parameters (Å, degrees): 4.9005 4.9005 4.4780 90.00 90.00 90.00
Closest atoms and distances in Å follow each position.
Space group P4/mmm (No. 123)
Inequivalent atoms, fractional coordinates:
Sm 0.0000 0.5000 0.0000 [2 per cell]  4 Tl 3.32, 4 Ti 3.32, 4 Sm 3.47
Ti 0.0000 0.0000 0.5000 [1 per cell]  8 Sm 3.32, 4 Tl 3.47
Tl 0.5000 0.5000 0.5000 [1 per cell]  8 Sm 3.32, 4 Ti 3.47

Output
As for the calculated formation energy: 0.003 eV/atom. The total energy comes out at -19.7 eV per formula unit. The value obtained for the calculated volume is 26.88 A^3/atom. For the spin magnetization, the calculation gives 2.2 μB per formula unit.

***

# 6
DFT (PBE) results for a relaxed SmTiTl2 crystal.

Lattice parameters (Å, degrees): 4.7055 4.7055 4.4833 90.00 90.00 90.00
Closest atoms and distances in Å follow each position.
Space group P4/mmm (No. 123)
Inequivalent atoms, fractional coordinates:
Sm 0.0000 0.0000 0.0000 [1 per cell]  8 Tl 3.25, 4 Ti 3.33
Ti 0.5000 0.5000 0.0000 [1 per cell]  8 Tl 3.25, 4 Sm 3.33
Tl 0.0000 0.5000 0.5000 [2 per cell]  4 Sm 3.25, 4 Ti 3.25, 4 Tl 3.33

Output
As for the calculated formation energy: -0.044 eV/atom. The total energy comes out at -17.5 eV per formula unit. The value obtained for the calculated volume is 24.82 A^3/atom. For the spin magnetization, the calculation gives 1.8 μB per formula unit.

***

Q: calculated formation energy of number 2 (Sm3Ti)?
A: 0.238 eV/atom

***

Q: Number 6 is which compound?
A: SmTiTl2